1.
Below is an optimized crystal structure of Tb2Tm5Co2, with properties calculated at the PBE-GGA level.

As for the formation enthalpy at 0 K: -0.0951 eV/atom. As for the total energy: -5.187 eV per atom.

a b c (Å): 6.9574 6.9110 10.3158
angles (deg): 90.00 70.29 90.00
Closest atoms and distances in Å follow each position.
Fractional positions:
Tb 0.7317 0.5000 0.5367  6 Tm 3.53-3.62, 4 Tb 3.53-3.55
Tb 0.2317 0.0000 0.5367  6 Tm 3.53-3.62, 4 Tb 3.53-3.55
Tb 0.7683 0.0000 0.4633  6 Tm 3.53-3.62, 4 Tb 3.53-3.55
Tb 0.2683 0.5000 0.4633  6 Tm 3.53-3.62, 4 Tb 3.53-3.55
Co 0.3857 0.8888 0.0000  1 Co 2.21
Co 0.1143 0.3888 0.0000  1 Co 2.21
Co 0.6143 0.1112 0.0000  1 Co 2.21
Co 0.8857 0.6112 0.0000  1 Co 2.21
Tm 0.9249 0.3226 0.7890  3 Co 2.89-2.94
Tm 0.2139 0.1774 0.2110  3 Co 2.89-2.94
Tm 0.0751 0.6774 0.2110  3 Co 2.89-2.94
Tm 0.5000 0.5000 0.0000  4 Co 2.79-2.80
Tm 0.7861 0.8226 0.7890  3 Co 2.89-2.94
Tm 0.7139 0.3226 0.2110  3 Co 2.89-2.94
Tm 0.4249 0.1774 0.7890  3 Co 2.89-2.94
Tm 0.5751 0.8226 0.2110  3 Co 2.89-2.94
Tm 0.0000 0.0000 0.0000  4 Co 2.79-2.80
Tm 0.2861 0.6774 0.7890  3 Co 2.89-2.94

=====

2.
Below is an optimized crystal structure of Ce2YRh, with properties calculated at the PBE-GGA level.

As for the formation enthalpy at 0 K: -0.2420 eV/atom. As for the total energy: -6.663 eV per atom.

a b c (Å): 3.7623 3.7623 9.4733
angles (deg): 78.55 78.55 60.00
Closest atoms and distances in Å follow each position.
Fractional positions:
Y 0.5000 0.5000 0.5000  6 Ce 3.59, 6 Y 3.76
Rh 0.0000 0.0000 0.0000  6 Ce 2.79
Ce 0.7301 0.7301 0.8096  3 Rh 2.79
Ce 0.2699 0.2699 0.1904  3 Rh 2.79

=====

3.
Below is an optimized crystal structure of In2ReRh, with properties calculated at the PBE-GGA level.

As for the formation enthalpy at 0 K: 0.3112 eV/atom. As for the total energy: -6.008 eV per atom.

a b c (Å): 4.7391 4.7391 5.4260
angles (deg): 80.51 80.51 35.94
Closest atoms and distances in Å follow each position.
Fractional positions:
In 0.7523 0.7523 0.2461  3 Rh 2.81-2.83, 3 Re 2.82-2.85, 6 In 2.92-3.11
In 0.2477 0.2477 0.7539  3 Rh 2.81-2.83, 3 Re 2.82-2.85, 6 In 2.92-3.11
Rh 0.5000 0.5000 0.0000  6 In 2.81-2.83, 2 Rh 2.92, 4 Re 3.08
Re 0.0000 0.0000 0.5000  6 In 2.82-2.85, 2 Re 2.92, 4 Rh 3.08